Record 1
A plane-wave DFT calculation with PBE-GGA was carried out for a geometry-optimized Mg2Sn2Te structure.

Properties
- DFT total energy: -29.38 eV for the cell shown
- Symmetry: No. 127
- Crystal system: tetragonal

abc: 9.136 9.136 3.164
angles: 90.00 90.00 90.00
Element x y z (fractional)
Mg 0.134 0.634 0.500
Mg 0.634 0.866 0.500
Mg 0.866 0.366 0.500
Mg 0.366 0.134 0.500
Te 0.000 0.000 0.000
Te 0.500 0.500 0.000
Sn 0.336 0.836 0.000
Sn 0.836 0.664 0.000
Sn 0.664 0.164 0.000
Sn 0.164 0.336 0.000

=====

Record 2
A plane-wave DFT calculation with PBE-GGA was carried out for a geometry-optimized BeSbS2 structure.

Properties
- DFT total energy: -16.92 eV for the cell shown
- Symmetry: No. 166
- Crystal system: trigonal

abc: 7.727 7.727 7.727
angles: 25.34 25.34 25.34
Element x y z (fractional)
Sb 0.000 0.000 0.000
S 0.885 0.885 0.885
S 0.115 0.115 0.115
Be 0.500 0.500 0.500

=====

Record 3
A plane-wave DFT calculation with PBE-GGA was carried out for a geometry-optimized BaAuN structure.

Properties
- DFT total energy: -29.98 eV for the cell shown
- Symmetry: No. 8
- Crystal system: monoclinic

abc: 4.509 4.581 8.678
angles: 93.09 89.98 119.43
Element x y z (fractional)
Au 0.186 0.825 0.149
Au 0.862 0.179 0.269
Ba 0.848 0.151 0.888
Ba 0.542 0.539 0.493
N 0.130 0.716 0.728
N 0.262 0.980 0.662

=====

Record 4
A plane-wave DFT calculation with PBE-GGA was carried out for a geometry-optimized Al4SiNi2 structure.

Properties
- DFT total energy: -63.04 eV for the cell shown
- Symmetry: No. 186
- Crystal system: hexagonal

abc: 4.031 4.031 17.921
angles: 90.00 90.00 120.00
Element x y z (fractional)
Ni 0.333 0.667 0.191
Ni 0.667 0.333 0.691
Ni 0.667 0.333 0.098
Ni 0.333 0.667 0.598
Si 0.000 0.000 0.417
Si 0.000 0.000 0.917
Al 0.000 0.000 0.077
Al 0.000 0.000 0.577
Al 0.667 0.333 0.222
Al 0.333 0.667 0.722
Al 0.000 0.000 0.279
Al 0.000 0.000 0.779
Al 0.333 0.667 0.467
Al 0.667 0.333 0.967

=====

Record 5
A plane-wave DFT calculation with PBE-GGA was carried out for a geometry-optimized Sr2Pd5PtAu2 structure.

Properties
- DFT total energy: -91.29 eV for the cell shown
- ΔH_f (0 K): -0.37 eV/atom
- Symmetry: No. 127
- Crystal system: tetragonal

abc: 3.972 10.037 10.037
angles: 90.00 90.00 90.00
Element x y z (fractional)
Sr 0.000 0.674 0.174
Sr 0.000 0.326 0.826
Sr 0.000 0.174 0.326
Sr 0.000 0.826 0.674
Pd 0.500 0.193 0.056
Pd 0.500 0.807 0.944
Pd 0.500 0.056 0.807
Pd 0.500 0.693 0.444
Pd 0.500 0.944 0.193
Pd 0.500 0.307 0.556
Pd 0.500 0.556 0.693
Pd 0.500 0.444 0.307
Pd 0.500 0.500 0.000
Pd 0.500 0.000 0.500
Pt 0.000 0.000 0.000
Pt 0.000 0.500 0.500
Au 0.000 0.127 0.627
Au 0.000 0.873 0.373
Au 0.000 0.627 0.873
Au 0.000 0.373 0.127

=====

Record 6
A plane-wave DFT calculation with PBE-GGA was carried out for a geometry-optimized CaPrSiIr structure.

Properties
- DFT total energy: -23.58 eV for the cell shown
- Symmetry: No. 160
- Crystal system: trigonal

abc: 4.171 4.171 7.993
angles: 74.87 74.87 60.00
Element x y z (fractional)
Ca 0.018 0.018 0.946
Pr 0.847 0.847 0.458
Si 0.601 0.601 0.198
Ir 0.260 0.260 0.220

=====

Record 7
A plane-wave DFT calculation with PBE-GGA was carried out for a geometry-optimized BaTcIr structure.

Properties
- DFT total energy: -41.04 eV for the cell shown
- ΔH_f (0 K): 0.21 eV/atom
- Symmetry: No. 2
- Crystal system: triclinic

abc: 11.401 4.375 4.178
angles: 61.54 80.19 83.22
Each line ends with the local moment (μB).
Element x y z (fractional)
Ir 0.170 0.598 0.627  0.02
Ir 0.940 0.776 0.644  0.02
Ba 0.356 0.908 0.885  0.04
Ba 0.754 0.465 0.386  0.04
Tc 0.991 0.137 0.940  0.06
Tc 0.119 0.236 0.331  0.06

=====

Record 8
A plane-wave DFT calculation with PBE-GGA was carried out for a geometry-optimized TaSeOF2 structure.

Properties
- DFT total energy: -22.69 eV for the cell shown
- Symmetry: No. 123
- Crystal system: tetragonal

abc: 4.786 4.786 3.638
angles: 90.00 90.00 90.00
Each line ends with the local moment (μB).
Element x y z (fractional)
F 0.000 0.500 0.000  -0.02
F 0.500 0.000 0.000  -0.02
O 0.000 0.000 0.500  0.07
Se 0.000 0.000 0.000  -0.09
Ta 0.500 0.500 0.500  1.83